Entry 1:
! Sb2OsPt SCAN PBEsol geometry; values from VASP
! crystal system	tetragonal
! raw total energy	-1.97996	hartree per atom
! space group	No. 122
! Fermi-level density of states	2.512	states/eV/f.u.
&SYSTEM
  ibrav = 0, nat = 8, ntyp = 3
/
ATOMIC_SPECIES
Sb 121.76 Sb.upf
Os 190.23 Os.upf
Pt 195.08 Pt.upf
ATOMIC_POSITIONS angstrom
Sb 1.520 4.441 1.455
Sb 4.401 1.480 1.455
Sb -1.480 -1.440 4.366
Sb 1.480 1.440 4.366
Os 2.960 0.000 2.911
Os 2.960 2.960 0.000
Pt 0.000 2.960 2.911
Pt 0.000 0.000 0.000
CELL_PARAMETERS angstrom
5.921 0.000 0.000
0.000 5.921 0.000
-2.960 -2.960 5.822



Entry 2:
! CdHg2Pb SCAN PBEsol geometry; values from VASP
! crystal system	trigonal
! calculated formation energy	0.1	eV per formula unit
! space group	No. 166
! Fermi-level density of states	1.876	states/eV/f.u.
&SYSTEM
  ibrav = 0, nat = 4, ntyp = 3
/
ATOMIC_SPECIES
Pb 207.20 Pb.upf
Hg 200.59 Hg.upf
Cd 112.41 Cd.upf
ATOMIC_POSITIONS angstrom
Pb 3.425 1.978 4.804
Hg 1.713 0.989 2.232
Hg 5.138 2.966 7.376
Cd 0.000 0.000 0.000
CELL_PARAMETERS angstrom
3.425 0.000 0.000
1.713 2.966 0.000
1.713 0.989 9.608



Entry 3:
! SrLaFe SCAN PBEsol geometry; values from VASP
! crystal system	cubic
! calculated formation energy	3.3	eV per formula unit
! space group	No. 216
! Fermi-level density of states	3.734	states/eV/f.u.
&SYSTEM
  ibrav = 0, nat = 3, ntyp = 3
/
ATOMIC_SPECIES
Fe 55.84 Fe.upf
La 138.91 La.upf
Sr 87.62 Sr.upf
ATOMIC_POSITIONS angstrom
Fe 4.876 2.815 1.991
La 2.438 1.408 0.995
Sr 0.000 0.000 0.000
CELL_PARAMETERS angstrom
4.876 0.000 0.000
2.438 4.223 0.000
2.438 1.408 3.981



Entry 4:
! HfGeRhBr2 SCAN PBEsol geometry; values from VASP
! crystal system	tetragonal
! raw total energy	-1.11448	hartree per atom
! space group	No. 123
! Fermi-level density of states	3.951	states/eV/f.u.
&SYSTEM
  ibrav = 0, nat = 5, ntyp = 4
/
ATOMIC_SPECIES
Rh 102.91 Rh.upf
Ge 72.64 Ge.upf
Hf 178.49 Hf.upf
Br 79.90 Br.upf
ATOMIC_POSITIONS angstrom
Rh 0.000 0.000 0.000
Ge 2.388 0.000 0.000
Hf 2.388 2.432 2.432
Br 0.000 0.000 2.432
Br 0.000 2.432 0.000
CELL_PARAMETERS angstrom
4.775 0.000 0.000
0.000 4.863 0.000
0.000 0.000 4.863



Entry 5:
! Rb3GaBr SCAN PBEsol geometry; values from VASP
! crystal system	cubic
! raw total energy	-0.73831	hartree per atom
! space group	No. 221
! Fermi-level density of states	4.764	states/eV/f.u.
&SYSTEM
  ibrav = 0, nat = 5, ntyp = 3
/
ATOMIC_SPECIES
Ga 69.72 Ga.upf
Br 79.90 Br.upf
Rb 85.47 Rb.upf
ATOMIC_POSITIONS angstrom
Ga 3.231 3.231 3.231
Br 0.000 0.000 0.000
Rb 0.000 3.231 0.000
Rb 0.000 0.000 3.231
Rb 3.231 0.000 0.000
CELL_PARAMETERS angstrom
6.461 0.000 0.000
0.000 6.461 0.000
0.000 0.000 6.461



Entry 6:
! HgTeCl2F SCAN PBEsol geometry; values from VASP
! crystal system	tetragonal
! raw total energy	-0.91552	hartree per atom
! space group	No. 123
! Fermi-level density of states	5.442	states/eV/f.u.
&SYSTEM
  ibrav = 0, nat = 5, ntyp = 4
/
ATOMIC_SPECIES
F 19.00 F.upf
Te 127.60 Te.upf
Hg 200.59 Hg.upf
Cl 35.45 Cl.upf
ATOMIC_POSITIONS angstrom
F 2.459 2.459 2.944
Te 0.000 0.000 2.944
Hg 0.000 0.000 0.000
Cl 0.000 2.459 0.000
Cl 2.459 0.000 0.000
CELL_PARAMETERS angstrom
4.918 0.000 0.000
0.000 4.918 0.000
0.000 0.000 5.887



Entry 7:
! CaAl10Cr2 SCAN PBEsol geometry; values from VASP
! crystal system	tetragonal
! calculated formation energy	-2.9	eV per formula unit
! space group	No. 129
! Fermi-level density of states	5.346	states/eV/f.u.
&SYSTEM
  ibrav = 0, nat = 52, ntyp = 3
/
ATOMIC_SPECIES
Ca 40.08 Ca.upf
Al 26.98 Al.upf
Cr 52.00 Cr.upf
ATOMIC_POSITIONS angstrom
Ca 0.000 6.387 6.387
Ca 0.000 0.000 0.000
Ca 2.666 0.000 6.387
Ca 2.431 6.387 0.000
Al 0.000 2.215 2.215
Al 0.000 8.602 4.172
Al 0.000 4.172 8.602
Al 0.000 10.559 10.559
Al 0.000 4.172 4.172
Al 0.000 10.559 2.215
Al 0.000 2.215 10.559
Al 0.000 8.602 8.602
Al 2.549 7.827 7.827
Al 2.549 1.440 11.333
Al 2.549 11.333 1.440
Al 2.549 4.946 4.946
Al 2.549 11.333 11.333
Al 2.549 4.946 7.827
Al 2.549 7.827 4.946
Al 2.549 1.440 1.440
Al 3.825 3.038 6.387
Al 3.825 0.000 3.349
Al 3.825 0.000 9.425
Al 3.825 9.736 6.387
Al 1.273 3.349 0.000
Al 1.273 9.425 0.000
Al 1.273 6.387 3.038
Al 1.273 6.387 9.736
Al 0.198 1.388 7.775
Al 0.198 1.388 4.999
Al 0.198 11.386 7.775
Al 0.198 11.386 4.999
Al 4.900 4.999 1.388
Al 4.900 7.775 11.386
Al 4.900 7.775 1.388
Al 4.900 4.999 11.386
Al 2.464 2.227 8.614
Al 2.464 2.227 4.160
Al 2.464 10.547 8.614
Al 2.464 10.547 4.160
Al 2.633 4.160 2.227
Al 2.633 8.614 10.547
Al 2.633 8.614 2.227
Al 2.633 4.160 10.547
Cr 1.307 9.451 6.387
Cr 1.307 0.000 9.710
Cr 1.307 0.000 3.064
Cr 1.307 3.323 6.387
Cr 3.791 9.710 0.000
Cr 3.791 3.064 0.000
Cr 3.791 6.387 9.451
Cr 3.791 6.387 3.323
CELL_PARAMETERS angstrom
5.098 0.000 0.000
0.000 12.774 0.000
0.000 0.000 12.774



Entry 8:
! Bi2AsOs2 SCAN PBEsol geometry; values from VASP
! crystal system	tetragonal
! calculated formation energy	4.0	eV per formula unit
! space group	No. 139
! Fermi-level density of states	3.650	states/eV/f.u.
&SYSTEM
  ibrav = 0, nat = 5, ntyp = 3
/
ATOMIC_SPECIES
As 74.92 As.upf
Os 190.23 Os.upf
Bi 208.98 Bi.upf
ATOMIC_POSITIONS angstrom
As 0.000 0.000 0.000
Os -4.051 -0.042 2.129
Os -3.541 2.403 1.622
Bi -4.531 1.846 4.346
Bi -3.061 0.514 -0.595
CELL_PARAMETERS angstrom
-1.257 2.432 -2.344
-2.276 -2.458 -1.329
-4.058 2.386 7.424



Entry 9:
! AlSbAu SCAN PBEsol geometry; values from VASP
! crystal system	tetragonal
! raw total energy	-1.40073	hartree per atom
! space group	No. 107
! Fermi-level density of states	1.252	states/eV/f.u.
&SYSTEM
  ibrav = 0, nat = 3, ntyp = 3
/
ATOMIC_SPECIES
Sb 121.76 Sb.upf
Au 196.97 Au.upf
Al 26.98 Al.upf
ATOMIC_POSITIONS angstrom
Sb 0.000 0.000 3.956
Au 1.589 1.589 1.687
Al 0.000 0.000 0.276
CELL_PARAMETERS angstrom
3.177 0.000 0.000
0.000 3.177 0.000
-1.589 -1.589 5.918



Entry 10:
! LaRh2Au SCAN PBEsol geometry; values from VASP
! crystal system	cubic
! calculated formation energy	-1.0	eV per formula unit
! space group	No. 216
! Fermi-level density of states	1.338	states/eV/f.u.
&SYSTEM
  ibrav = 0, nat = 4, ntyp = 3
/
ATOMIC_SPECIES
Au 196.97 Au.upf
La 138.91 La.upf
Rh 102.91 Rh.upf
ATOMIC_POSITIONS angstrom
Au -4.236 -3.861 -0.578
La -6.355 -5.791 -0.868
Rh 0.000 0.000 0.000
Rh -2.118 -1.930 -0.289
CELL_PARAMETERS angstrom
-3.498 -1.476 -2.776
-1.004 -4.587 -0.280
-3.970 -1.659 1.900



Entry 11:
! MgTe3Br SCAN PBEsol geometry; values from VASP
! crystal system	cubic
! raw total energy	-0.99203	hartree per atom
! space group	No. 221
! Fermi-level density of states	3.340	states/eV/f.u.
&SYSTEM
  ibrav = 0, nat = 5, ntyp = 3
/
ATOMIC_SPECIES
Mg 24.30 Mg.upf
Te 127.60 Te.upf
Br 79.90 Br.upf
ATOMIC_POSITIONS angstrom
Mg 0.000 0.000 0.000
Te -0.567 -0.312 -2.593
Te 2.138 -1.579 -0.277
Te -1.499 -2.133 0.584
Br 0.072 -4.024 -2.286
CELL_PARAMETERS angstrom
-2.999 -4.266 1.169
-1.133 -0.624 -5.185
4.276 -3.157 -0.555



Entry 12:
! Y2IrSe SCAN PBEsol geometry; values from VASP
! crystal system	tetragonal
! raw total energy	-1.39297	hartree per atom
! space group	No. 123
! Fermi-level density of states	2.192	states/eV/f.u.
&SYSTEM
  ibrav = 0, nat = 4, ntyp = 3
/
ATOMIC_SPECIES
Ir 192.22 Ir.upf
Se 78.96 Se.upf
Y 88.91 Y.upf
ATOMIC_POSITIONS angstrom
Ir -1.628 -0.362 -0.184
Se -1.437 -2.584 2.524
Y 0.509 -2.414 0.255
Y -0.318 0.192 2.452
CELL_PARAMETERS angstrom
-3.255 -0.724 -0.367
1.018 -4.828 0.511
-0.636 0.383 4.904